A geometry-optimized TaTl2H structure, computed with PBE.

Computed properties:
- Distance to the lowest polymorph of the same formula: 0.000 eV/atom
- Volume: 18.11 Å³/atom

```
data_TaTl2H
_chemical_formula_sum 'Ta4 Tl8 H4'
_symmetry_space_group_name_H-M 'I -4 2 d'
_symmetry_Int_Tables_number 122
_symmetry_space_group_name_Hall 'I -4 2bw'
_cell_length_a 6.963
_cell_length_b 6.963
_cell_length_c 5.976
_cell_angle_alpha 90.00
_cell_angle_beta 90.00
_cell_angle_gamma 90.00
loop_
_atom_site_label
_atom_site_type_symbol
_atom_site_fract_x
_atom_site_fract_y
_atom_site_fract_z
Ta1 Ta 0.000 0.000 0.000
Tl1 Tl 0.175 0.250 0.625
H1 H 0.000 0.000 0.500
```